No. 1
VASP calculation (PBE with a Hubbard U) on a geometry-optimized TmVIO4 structure.

Results
Its uncorrected energy is -194.82 eV per cell. Its total magnetization is 0.00 μB/cell.

The structure in CIF format:
```
data_TmVIO4
_chemical_formula_sum 'Tm4 V4 I4 O16'
_cell_length_a 12.0379
_cell_length_b 6.2513
_cell_length_c 6.7113
_cell_angle_alpha 90.00
_cell_angle_beta 102.95
_cell_angle_gamma 90.00
_symmetry_space_group_name_H-M 'C 1 2/m 1'
_symmetry_Int_Tables_number 12
loop_
_symmetry_equiv_pos_as_xyz
'x,y,z'
'-x,-y,-z'
'-x,y,-z'
'x,-y,z'
'x+1/2,y+1/2,z'
'-x+1/2,-y+1/2,-z'
'-x+1/2,y+1/2,-z'
'x+1/2,-y+1/2,z'
loop_
_atom_site_label
_atom_site_fract_x
_atom_site_fract_y
_atom_site_fract_z
Tm1 0.2026 0.0000 0.3409
V1 0.1308 0.0000 0.7574
I1 0.0406 0.5000 0.2023
O1 0.0140 0.0000 0.2773
O2 0.1785 0.2164 0.6221
O3 0.1929 0.0000 0.0132
```

No. 2
VASP calculation (PBE with a Hubbard U) on a geometry-optimized TmWIO4 structure.

Results
Its uncorrected energy is -194.95 eV per cell. Its total magnetization is 0.00 μB/cell.

The structure in CIF format:
```
data_TmWIO4
_chemical_formula_sum 'Tm4 W4 I4 O16'
_cell_length_a 10.8730
_cell_length_b 7.1759
_cell_length_c 7.1373
_cell_angle_alpha 90.00
_cell_angle_beta 107.48
_cell_angle_gamma 90.00
_symmetry_space_group_name_H-M 'C 1 2/m 1'
_symmetry_Int_Tables_number 12
loop_
_symmetry_equiv_pos_as_xyz
'x,y,z'
'-x,-y,-z'
'-x,y,-z'
'x,-y,z'
'x+1/2,y+1/2,z'
'-x+1/2,-y+1/2,-z'
'-x+1/2,y+1/2,-z'
'x+1/2,-y+1/2,z'
loop_
_atom_site_label
_atom_site_fract_x
_atom_site_fract_y
_atom_site_fract_z
Tm1 0.2437 0.0000 0.1402
W1 0.1321 0.5000 0.2617
I1 0.0173 0.0000 0.7535
O1 0.0431 0.5000 0.8140
O2 0.1916 0.5000 0.5267
O3 0.1968 0.3038 0.1560
```

Repeat the second record exactly.
VASP calculation (PBE with a Hubbard U) on a geometry-optimized TmWIO4 structure.

Results
Its uncorrected energy is -194.95 eV per cell. Its total magnetization is 0.00 μB/cell.

The structure in CIF format:
```
data_TmWIO4
_chemical_formula_sum 'Tm4 W4 I4 O16'
_cell_length_a 10.8730
_cell_length_b 7.1759
_cell_length_c 7.1373
_cell_angle_alpha 90.00
_cell_angle_beta 107.48
_cell_angle_gamma 90.00
_symmetry_space_group_name_H-M 'C 1 2/m 1'
_symmetry_Int_Tables_number 12
loop_
_symmetry_equiv_pos_as_xyz
'x,y,z'
'-x,-y,-z'
'-x,y,-z'
'x,-y,z'
'x+1/2,y+1/2,z'
'-x+1/2,-y+1/2,-z'
'-x+1/2,y+1/2,-z'
'x+1/2,-y+1/2,z'
loop_
_atom_site_label
_atom_site_fract_x
_atom_site_fract_y
_atom_site_fract_z
Tm1 0.2437 0.0000 0.1402
W1 0.1321 0.5000 0.2617
I1 0.0173 0.0000 0.7535
O1 0.0431 0.5000 0.8140
O2 0.1916 0.5000 0.5267
O3 0.1968 0.3038 0.1560
```